Below is HfGeIr after structural relaxation, with properties calculated at the GGA-PBE level.

Unit cell a=6.5328 b=4.0514 c=7.5722 alpha=90.00 beta=90.00 gamma=90.00
Sites, in units of the cell vectors:
Hf (0.0217, 0.2500, 0.1858)
Hf (0.4783, 0.7500, 0.6858)
Hf (0.5217, 0.2500, 0.3142)
Hf (0.9783, 0.7500, 0.8142)
Ge (0.2316, 0.7500, 0.3811)
Ge (0.2684, 0.2500, 0.8811)
Ge (0.7316, 0.7500, 0.1189)
Ge (0.7684, 0.2500, 0.6189)
Ir (0.1551, 0.2500, 0.5645)
Ir (0.3449, 0.7500, 0.0645)
Ir (0.6551, 0.2500, 0.9355)
Ir (0.8449, 0.7500, 0.4355)

Summary:
Magnetization: 0.0 μB per formula unit
Total energy: -8.646 eV/atom